No. 1
A plane-wave DFT calculation with GGA-PBE was carried out for Ce2NdAl2 after structural relaxation.

Lattice parameters (Å, degrees): 8.890 8.890 3.276 90.00 90.00 90.00
Space group P4/mbm (No. 127)
One atom of each set of equivalent atoms:
Ce: 0.108 0.392 0.000 [4 per cell]
Nd: 0.000 0.000 0.000 [2 per cell]
Al: 0.184 0.684 0.500 [4 per cell]

Values from the calculation:
ΔH_f (0 K): -0.1729 eV/atom
spin magnetization: 1.31 μB per cell
calculated density: 6.14 g/cm³



No. 2
A plane-wave DFT calculation with GGA-PBE was carried out for CeNdAl2 after structural relaxation.

Lattice parameters (Å, degrees): 8.190 4.354 11.054 90.00 90.00 90.00
Space group Pnma (No. 62)
One atom of each set of equivalent atoms:
Ce: 0.030 0.250 0.073 [4 per cell]
Nd: 0.196 0.750 0.307 [4 per cell]
Al: 0.088 0.750 0.649 [4 per cell]
Al: 0.171 0.250 0.521 [4 per cell]

Values from the calculation:
ΔH_f (0 K): -0.3436 eV/atom
spin magnetization: 0.00 μB per cell
polymorph energy (0 for the lowest one): 0.0082 eV/atom
calculated density: 5.70 g/cm³



No. 3
A plane-wave DFT calculation with GGA-PBE was carried out for CeNdAl after structural relaxation.

Lattice parameters (Å, degrees): 3.431 5.270 8.747 90.03 100.58 90.00
Space group P-1 (No. 2)
One atom of each set of equivalent atoms:
Ce: 0.232 0.249 0.027 [2 per cell]
Nd: 0.069 0.750 0.624 [2 per cell]
Al: 0.398 0.750 0.281 [2 per cell]

Values from the calculation:
ΔH_f (0 K): -0.2094 eV/atom
spin magnetization: 0.00 μB per cell
polymorph energy (0 for the lowest one): 0.0000 eV/atom
calculated density: 6.65 g/cm³



No. 4
A plane-wave DFT calculation with GGA-PBE was carried out for CeNdAl2 after structural relaxation.

Lattice parameters (Å, degrees): 7.409 7.409 7.409 90.00 90.00 90.00
Space group Fm-3m (No. 225)
One atom of each set of equivalent atoms:
Ce: 0.000 0.000 0.000 [4 per cell]
Nd: 0.000 0.000 0.500 [4 per cell]
Al: 0.250 0.250 0.250 [8 per cell]

Values from the calculation:
ΔH_f (0 K): -0.2905 eV/atom
spin magnetization: 3.38 μB per cell
polymorph energy (0 for the lowest one): 0.0613 eV/atom
calculated density: 5.53 g/cm³



No. 5
A plane-wave DFT calculation with GGA-PBE was carried out for CeNdAl2 after structural relaxation.

Lattice parameters (Å, degrees): 3.6113 3.6113 28.5168 90.00 90.00 120.00
Space group R-3m (No. 166, hexagonal axes)
One atom of each set of equivalent atoms:
Ce: 0.0000 0.0000 0.0000 [3 per cell]
Nd: 0.0000 0.0000 0.5000 [3 per cell]
Al: 0.0000 0.0000 0.2511 [6 per cell]

Values from the calculation:
ΔH_f (0 K): -0.0469 eV/atom
spin magnetization: 1.00 μB per cell
polymorph energy (0 for the lowest one): 0.3049 eV/atom
calculated density: 5.23 g/cm³



No. 6
A plane-wave DFT calculation with GGA-PBE was carried out for CeNdAl2 after structural relaxation.

Lattice parameters (Å, degrees): 4.186 4.601 10.764 90.00 101.08 90.00
Space group P2_1/m (No. 11)
One atom of each set of equivalent atoms:
Ce: 0.044 0.250 0.088 [2 per cell]
Nd: 0.312 0.750 0.620 [2 per cell]
Al: 0.151 0.750 0.305 [2 per cell]
Al: 0.426 0.250 0.851 [2 per cell]

Values from the calculation:
ΔH_f (0 K): -0.3518 eV/atom
spin magnetization: 1.03 μB per cell
polymorph energy (0 for the lowest one): 0.0000 eV/atom
calculated density: 5.52 g/cm³



No. 7
A plane-wave DFT calculation with GGA-PBE was carried out for CeNd2Al9 after structural relaxation.

Lattice parameters (Å, degrees): 5.6403 5.6403 26.7627 90.00 90.00 120.00
Space group R-3m (No. 166, hexagonal axes)
One atom of each set of equivalent atoms:
Ce: 0.0000 0.0000 0.0000 [3 per cell]
Nd: 0.0000 0.0000 0.1400 [6 per cell]
Al: 0.0000 0.0000 0.3347 [6 per cell]
Al: 0.0000 0.0000 0.5000 [3 per cell]
Al: 0.0058 0.5029 0.9180 [18 per cell]

Values from the calculation:
ΔH_f (0 K): -0.3808 eV/atom
spin magnetization: 2.53 μB per cell
calculated density: 4.54 g/cm³



No. 8
A plane-wave DFT calculation with GGA-PBE was carried out for CeNdAl6 after structural relaxation.

Lattice parameters (Å, degrees): 6.4432 6.4432 4.6443 90.00 90.00 120.00
Space group P-6m2 (No. 187)
One atom of each set of equivalent atoms:
Ce: 0.0000 0.0000 0.0000 [1 per cell]
Nd: 0.6667 0.3333 0.5000 [1 per cell]
Al: 0.0489 0.5245 0.0000 [3 per cell]
Al: 0.1897 0.3795 0.5000 [3 per cell]

Values from the calculation:
ΔH_f (0 K): -0.4290 eV/atom
spin magnetization: 0.41 μB per cell
calculated density: 4.44 g/cm³



No. 9
A plane-wave DFT calculation with GGA-PBE was carried out for CeNdAl2O6 after structural relaxation.

Lattice parameters (Å, degrees): 7.595 7.561 5.356 90.00 134.76 90.00
Space group Cm (No. 8)
One atom of each set of equivalent atoms:
Ce: 0.000 0.000 0.000 [2 per cell]
Nd: 0.008 0.500 0.007 [2 per cell]
Al: 0.002 0.250 0.502 [4 per cell]
O: 0.064 0.000 0.561 [2 per cell]
O: 0.250 0.283 0.499 [4 per cell]
O: 0.251 0.280 0.002 [4 per cell]
O: 0.444 0.000 0.447 [2 per cell]

Values from the calculation:
spin magnetization: 2.00 μB per cell
raw formation energy: -3.216 eV/atom
calculated density: 6.60 g/cm³



No. 10
A plane-wave DFT calculation with GGA-PBE was carried out for CeNdPaAl after structural relaxation.

Lattice parameters (Å, degrees): 7.479 7.479 7.479 90.00 90.00 90.00
Space group F-43m (No. 216)
One atom of each set of equivalent atoms:
Ce: 0.000 0.000 0.000 [4 per cell]
Nd: 0.000 0.000 0.500 [4 per cell]
Pa: 0.250 0.250 0.250 [4 per cell]
Al: 0.250 0.250 0.750 [4 per cell]

Values from the calculation:
ΔH_f (0 K): 0.1636 eV/atom
spin magnetization: 6.02 μB per cell
calculated density: 8.61 g/cm³



No. 11
A plane-wave DFT calculation with GGA-PBE was carried out for CeNdAlPb after structural relaxation.

Lattice parameters (Å, degrees): 7.683 7.683 7.683 90.00 90.00 90.00
Space group F-43m (No. 216)
One atom of each set of equivalent atoms:
Ce: 0.000 0.000 0.000 [4 per cell]
Nd: 0.000 0.000 0.500 [4 per cell]
Al: 0.250 0.250 0.250 [4 per cell]
Pb: 0.250 0.250 0.750 [4 per cell]

Values from the calculation:
ΔH_f (0 K): -0.2970 eV/atom
spin magnetization: 5.06 μB per cell
calculated density: 7.59 g/cm³



No. 12
A plane-wave DFT calculation with GGA-PBE was carried out for CePmNdAl after structural relaxation.

Lattice parameters (Å, degrees): 7.684 7.684 7.684 90.00 90.00 90.00
Space group F-43m (No. 216)
One atom of each set of equivalent atoms:
Ce: 0.000 0.000 0.000 [4 per cell]
Pm: 0.250 0.250 0.750 [4 per cell]
Nd: 0.000 0.000 0.500 [4 per cell]
Al: 0.250 0.250 0.250 [4 per cell]

Values from the calculation:
ΔH_f (0 K): 0.0067 eV/atom
spin magnetization: 1.04 μB per cell
calculated density: 6.68 g/cm³